# MnFeO3

A relaxed structure of MnFeO3 (GGA+U, the Alexandria database).

a = 3.7071 Å, b = 3.7071 Å, c = 3.7071 Å
α = 90.00°, β = 90.00°, γ = 90.00°
Space group Pm-3m (No. 221)
Symmetry-distinct sites (fractional):
Mn: 0.0000 0.0000 0.0000
Fe: 0.5000 0.5000 0.5000
O: 0.0000 0.0000 0.5000

Properties
Its density of states at the Fermi level is 6.8 states/eV per cell. The raw total energy is -6.372 eV per atom.